A plane-wave DFT calculation with PBE-GGA was carried out for a relaxed PmMnSn2 crystal. Values from VASP.

Cell and atoms, written as Quantum ESPRESSO input:
```
&SYSTEM
  ibrav = 0, nat = 4, ntyp = 3
/
ATOMIC_SPECIES
Mn 54.94 Mn.upf
Sn 118.71 Sn.upf
Pm 145.00 Pm.upf
ATOMIC_POSITIONS angstrom
Mn 4.511 2.605 2.765
Sn 2.256 1.302 1.802
Sn 6.767 3.907 3.728
Pm 0.000 0.000 0.000
CELL_PARAMETERS angstrom
4.511 0.000 0.000
2.256 3.907 0.000
2.256 1.302 5.530
```

Output
**Formation energy from the elements**: -1.26 eV per formula unit
**Magnetization**: 2.99 μB per formula unit
**E**: -5.7963 eV per atom

A plane-wave DFT calculation with PBE-GGA was carried out for a relaxed NdHfP2 crystal. Values from VASP.

Cell and atoms, written as Quantum ESPRESSO input:
```
&SYSTEM
  ibrav = 0, nat = 4, ntyp = 3
/
ATOMIC_SPECIES
Nd 144.24 Nd.upf
P 30.97 P.upf
Hf 178.49 Hf.upf
ATOMIC_POSITIONS angstrom
Nd -4.222 -1.107 3.415
P -2.058 -0.380 1.648
P -6.386 -1.834 5.182
Hf 0.000 0.000 0.000
CELL_PARAMETERS angstrom
-1.300 1.542 3.328
-3.686 1.217 0.272
-3.459 -4.974 3.229
```

Output
**Formation energy from the elements**: -5.61 eV per formula unit
**Magnetization**: 0.00 μB per formula unit
**E**: -7.7868 eV per atom

A plane-wave DFT calculation with PBE-GGA was carried out for a relaxed Cd2PPd6 crystal. Values from VASP.

Cell and atoms, written as Quantum ESPRESSO input:
```
&SYSTEM
  ibrav = 0, nat = 9, ntyp = 3
/
ATOMIC_SPECIES
Pd 106.42 Pd.upf
P 30.97 P.upf
Cd 112.41 Cd.upf
ATOMIC_POSITIONS angstrom
Pd 0.632 -1.213 2.101
Pd 0.632 2.605 4.513
Pd 2.266 1.213 2.101
Pd 2.266 -2.605 4.513
Pd 0.632 2.426 0.000
Pd 2.266 5.211 0.000
P 0.000 0.000 0.000
Cd 1.449 3.818 2.204
Cd 1.449 0.000 4.409
CELL_PARAMETERS angstrom
2.899 0.000 0.000
0.000 7.637 0.000
0.000 -3.818 6.613
```

Output
**Formation energy from the elements**: -2.12 eV per formula unit
**Magnetization**: 0.00 μB per formula unit
**E**: -4.5018 eV per atom

A plane-wave DFT calculation with PBE-GGA was carried out for a relaxed KBaNi crystal. Values from VASP.

Cell and atoms, written as Quantum ESPRESSO input:
```
&SYSTEM
  ibrav = 0, nat = 3, ntyp = 3
/
ATOMIC_SPECIES
Ni 58.69 Ni.upf
Ba 137.33 Ba.upf
K 39.10 K.upf
ATOMIC_POSITIONS angstrom
Ni 0.000 2.595 5.394
Ba 0.000 0.000 6.827
K 2.248 1.298 3.279
CELL_PARAMETERS angstrom
4.495 0.000 0.000
-2.248 3.893 0.000
0.000 0.000 7.750
```

Output
**Formation energy from the elements**: 1.08 eV per formula unit
**Magnetization**: 0.00 μB per formula unit
**E**: -2.5744 eV per atom

A plane-wave DFT calculation with PBE-GGA was carried out for a relaxed MnCoIrRu crystal. Values from VASP.

Cell and atoms, written as Quantum ESPRESSO input:
```
&SYSTEM
  ibrav = 0, nat = 4, ntyp = 4
/
ATOMIC_SPECIES
Co 58.93 Co.upf
Ru 101.07 Ru.upf
Ir 192.22 Ir.upf
Mn 54.94 Mn.upf
ATOMIC_POSITIONS angstrom
Co 4.199 2.424 1.714
Ru 2.100 1.212 0.857
Ir 6.299 3.637 2.572
Mn 0.000 0.000 0.000
CELL_PARAMETERS angstrom
4.199 0.000 0.000
2.100 3.637 0.000
2.100 1.212 3.429
```

Output
**Formation energy from the elements**: 0.61 eV per formula unit
**Magnetization**: 4.65 μB per formula unit
**E**: -8.4498 eV per atom

A plane-wave DFT calculation with PBE-GGA was carried out for a relaxed BaLi2ZnHg4 crystal. Values from VASP.

Cell and atoms, written as Quantum ESPRESSO input:
```
&SYSTEM
  ibrav = 0, nat = 8, ntyp = 4
/
ATOMIC_SPECIES
Hg 200.59 Hg.upf
Ba 137.33 Ba.upf
Zn 65.41 Zn.upf
Li 6.94 Li.upf
ATOMIC_POSITIONS angstrom
Hg 4.730 2.731 7.967
Hg 4.730 2.731 2.171
Hg 7.095 4.096 3.968
Hg 2.365 1.365 6.169
Ba 0.000 0.000 0.000
Zn 4.730 2.731 5.069
Li 2.365 1.365 3.292
Li 7.095 4.096 6.845
CELL_PARAMETERS angstrom
4.730 0.000 0.000
2.365 4.096 0.000
2.365 1.365 10.138
```

Output
**Formation energy from the elements**: -2.49 eV per formula unit
**Magnetization**: 0.00 μB per formula unit
**E**: -1.3407 eV per atom

A plane-wave DFT calculation with PBE-GGA was carried out for a relaxed La2HoSe2O2 crystal. Values from VASP.

Cell and atoms, written as Quantum ESPRESSO input:
```
&SYSTEM
  ibrav = 0, nat = 7, ntyp = 4
/
ATOMIC_SPECIES
Se 78.96 Se.upf
La 138.91 La.upf
O 16.00 O.upf
Ho 164.93 Ho.upf
ATOMIC_POSITIONS angstrom
Se 0.000 0.000 2.820
Se 2.176 2.176 5.071
La 2.176 2.176 2.007
La 0.000 0.000 5.885
O 0.000 2.176 0.000
O 2.176 0.000 0.000
Ho 0.000 0.000 0.000
CELL_PARAMETERS angstrom
4.352 0.000 0.000
0.000 4.352 0.000
-2.176 -2.176 7.891
```

Output
**Raw formation energy**: -2.54 eV per atom
**Magnetization**: 0.00 μB per formula unit
**E**: -7.0136 eV per atom

A plane-wave DFT calculation with PBE-GGA was carried out for a relaxed KIn4Cl crystal. Values from VASP.

Cell and atoms, written as Quantum ESPRESSO input:
```
&SYSTEM
  ibrav = 0, nat = 6, ntyp = 3
/
ATOMIC_SPECIES
In 114.82 In.upf
K 39.10 K.upf
Cl 35.45 Cl.upf
ATOMIC_POSITIONS angstrom
In 3.397 3.397 3.397
In 5.670 3.397 5.670
In 3.397 5.670 5.670
In 5.670 5.670 3.397
K 6.800 6.800 6.800
Cl 0.000 0.000 0.000
CELL_PARAMETERS angstrom
0.000 4.533 4.533
4.533 0.000 4.533
4.533 4.533 0.000
```

Output
**Raw formation energy**: -0.19 eV per atom
**Magnetization**: 0.00 μB per formula unit
**E**: -2.5097 eV per atom

A plane-wave DFT calculation with PBE-GGA was carried out for a relaxed Ac2PmNd5Dy crystal. Values from VASP.

Cell and atoms, written as Quantum ESPRESSO input:
```
&SYSTEM
  ibrav = 0, nat = 18, ntyp = 4
/
ATOMIC_SPECIES
Nd 144.24 Nd.upf
Ac 227.00 Ac.upf
Pm 145.00 Pm.upf
Dy 162.50 Dy.upf
ATOMIC_POSITIONS angstrom
Nd 2.934 4.248 2.196
Nd 0.000 9.962 8.214
Nd 2.934 4.492 8.912
Nd 0.000 0.415 0.280
Nd 0.000 6.130 7.725
Nd 0.000 8.204 0.272
Nd 2.934 2.174 5.801
Nd 0.000 5.887 3.383
Nd 2.934 0.416 2.685
Nd 2.934 9.963 5.809
Ac 2.934 7.907 9.093
Ac 2.934 8.067 2.579
Ac 0.000 2.471 3.564
Ac 0.000 2.311 8.108
Pm 2.934 6.077 5.600
Pm 0.000 4.301 0.071
Dy 2.934 1.877 10.668
Dy 0.000 8.501 5.139
CELL_PARAMETERS angstrom
5.867 0.000 0.000
-2.934 10.378 0.000
0.000 0.000 11.058
```

Output
**Formation energy from the elements**: 1.18 eV per formula unit
**Magnetization**: 0.00 μB per formula unit
**E**: -4.4700 eV per atom

A plane-wave DFT calculation with PBE-GGA was carried out for a relaxed K3Cd3Pb crystal. Values from VASP.

Cell and atoms, written as Quantum ESPRESSO input:
```
&SYSTEM
  ibrav = 0, nat = 14, ntyp = 3
/
ATOMIC_SPECIES
Pb 207.20 Pb.upf
K 39.10 K.upf
Cd 112.41 Cd.upf
ATOMIC_POSITIONS angstrom
Pb -2.646 0.883 7.929
Pb -4.735 -4.245 10.779
K -1.164 -1.974 15.868
K -2.026 -0.968 4.440
K -4.792 -2.209 7.520
K -5.355 -2.393 14.268
K -2.589 -1.153 11.188
K -6.217 -1.387 2.840
Cd -6.349 -1.631 10.714
Cd -8.199 -1.526 6.111
Cd -3.226 -5.150 15.790
Cd -4.154 1.789 2.918
Cd 0.818 -1.836 12.597
Cd -1.032 -1.730 7.994
CELL_PARAMETERS angstrom
-4.118 2.631 1.715
-5.540 -4.092 0.796
2.277 -1.900 16.197
```

Output
**Formation energy from the elements**: -0.65 eV per formula unit
**Magnetization**: 0.00 μB per formula unit
**E**: -1.4856 eV per atom

A plane-wave DFT calculation with PBE-GGA was carried out for a relaxed Zr3NbOs2 crystal. Values from VASP.

Cell and atoms, written as Quantum ESPRESSO input:
```
&SYSTEM
  ibrav = 0, nat = 6, ntyp = 3
/
ATOMIC_SPECIES
Zr 91.22 Zr.upf
Os 190.23 Os.upf
Nb 92.91 Nb.upf
ATOMIC_POSITIONS angstrom
Zr -2.479 5.386 3.815
Zr 0.000 0.000 0.000
Zr -1.156 2.513 1.779
Os -2.498 0.038 1.371
Os -4.974 5.417 5.181
Nb -3.736 2.727 3.276
CELL_PARAMETERS angstrom
-2.945 -0.353 -1.416
-0.891 -2.092 2.374
-3.636 7.899 5.594
```

Output
**Formation energy from the elements**: -1.93 eV per formula unit
**Magnetization**: 0.00 μB per formula unit
**E**: -10.0176 eV per atom

A plane-wave DFT calculation with PBE-GGA was carried out for a relaxed AlSe2N crystal. Values from VASP.

Cell and atoms, written as Quantum ESPRESSO input:
```
&SYSTEM
  ibrav = 0, nat = 8, ntyp = 3
/
ATOMIC_SPECIES
Se 78.96 Se.upf
Al 26.98 Al.upf
N 14.01 N.upf
ATOMIC_POSITIONS angstrom
Se 3.493 1.266 1.549
Se 3.798 4.102 4.647
Se 6.329 6.025 4.647
Se 1.570 3.798 1.549
Al 5.064 2.532 3.098
Al 0.000 0.000 0.000
N 2.532 2.532 0.000
N 2.532 5.064 3.098
CELL_PARAMETERS angstrom
5.064 0.000 0.000
0.000 5.064 0.000
2.532 2.532 6.196
```

Output
**Raw formation energy**: 0.59 eV per atom
**Magnetization**: 0.00 μB per formula unit
**E**: -4.1710 eV per atom

Q: Number 10 is which compound?
A: K3Cd3Pb